# 1
The following is a PBE calculation of SrCa2Br after structural relaxation, from the Alexandria database.

Unit cell a=3.954 b=3.954 c=11.098 alpha=90.00 beta=90.00 gamma=115.05
Positions (direct):
Br1 0.500 0.500 0.759
Sr1 0.000 0.000 0.535
Ca1 0.000 0.000 0.966
Ca2 0.500 0.500 0.241

energy above the most stable polymorph in this dataset	8	meV/atom
DFT total energy	-2.487	eV/atom


# 2
The following is a PBE calculation of Sr3CaBr8 after structural relaxation, from the Alexandria database.

Unit cell a=9.091 b=9.086 c=8.553 alpha=122.46 beta=90.00 gamma=120.02
Positions (direct):
Br1 0.762 0.524 0.770
Sr1 0.000 0.500 0.000
Sr2 0.500 0.500 0.000
Br2 0.254 0.508 0.765
Br3 0.762 0.005 0.770
Ca1 0.000 0.000 0.000
Sr3 0.500 0.000 0.000
Br4 0.243 0.005 0.770
Br5 0.757 0.995 0.230
Br6 0.746 0.492 0.235
Br7 0.238 0.995 0.230
Br8 0.238 0.476 0.230

DFT total energy	-3.794	eV/atom


# 3
The following is a PBE calculation of SrCa2Br after structural relaxation, from the Alexandria database.

Unit cell a=7.184 b=7.184 c=7.184 alpha=138.19 beta=138.19 gamma=60.62
Positions (direct):
Ca1 0.250 0.750 0.500
Ca2 0.000 0.000 0.000
Sr1 0.500 0.500 0.000
Br1 0.750 0.250 0.500

energy above the most stable polymorph in this dataset	319	meV/atom
DFT total energy	-2.177	eV/atom


# 4
The following is a PBE calculation of SrCaBr2 after structural relaxation, from the Alexandria database.

Unit cell a=4.321 b=4.321 c=9.633 alpha=90.00 beta=90.00 gamma=125.41
Last column: magnetic moment on the atom in μB.
Positions (direct):
Sr1 0.500 0.500 0.750  0.10
Ca1 0.500 0.500 0.250  0.13
Br1 0.000 0.000 0.020  0.02
Br2 0.000 0.000 0.480  0.02

energy above the most stable polymorph in this dataset	165	meV/atom
DFT total energy	-3.020	eV/atom


Which formula does entry 3 have? SrCa2Br